No. 1
A relaxed structure of Tc2SeSF. Source: Alexandria via LeMat-Bulk, functional GGA-PBE.

a = 4.7412 Å, b = 4.7412 Å, c = 4.7991 Å
α = 90.00°, β = 90.00°, γ = 90.00°
With the nearest neighbours (Å) after each atom.
Space group P4/mmm (No. 123)
Asymmetric unit:
Tc 0.0000 0.5000 0.0000 (multiplicity 2)  2 Se 2.37
Se 0.0000 0.0000 0.0000 (multiplicity 1)  4 Tc 2.37, 2 S 2.40
S 0.0000 0.0000 0.5000 (multiplicity 1)  2 Se 2.40
F 0.5000 0.5000 0.5000 (multiplicity 1)  4 S 3.35, 8 Tc 3.37

Properties
Uncorrected energy   -24.671 eV per cell
Energy relative to the elements, uncorrected   1.1088 eV/atom

---

No. 2
A relaxed structure of TeRhN2O. Source: Alexandria via LeMat-Bulk, functional GGA-PBE.

a = 3.8876 Å, b = 3.8876 Å, c = 4.1725 Å
α = 90.00°, β = 90.00°, γ = 90.00°
With the nearest neighbours (Å) after each atom.
Space group P4/mmm (No. 123)
Asymmetric unit:
Te 0.0000 0.0000 0.0000 (multiplicity 1)  2 O 2.09
Rh 0.5000 0.5000 0.0000 (multiplicity 1)  4 Te 2.75, 8 N 2.85
N 0.0000 0.5000 0.5000 (multiplicity 2)  2 O 1.94
O 0.0000 0.0000 0.5000 (multiplicity 1)  4 N 1.94, 2 Te 2.09

Properties
Uncorrected energy   -22.725 eV per cell
Energy relative to the elements, uncorrected   1.8754 eV/atom

---

No. 3
A relaxed structure of NaTaZn. Source: Alexandria via LeMat-Bulk, functional GGA-PBE.

a = 10.0799 Å, b = 2.7420 Å, c = 8.7513 Å
α = 90.00°, β = 90.00°, γ = 90.00°
With the nearest neighbours (Å) after each atom.
Space group Pnma (No. 62)
Asymmetric unit:
Na 0.0734 0.2500 0.1689 (multiplicity 4)  2 Na 2.74, 2 Zn 3.03
Ta 0.1116 0.2500 0.5444 (multiplicity 4)  4 Ta 2.74-2.75, 3 Zn 2.83-2.85
Zn 0.2086 0.2500 0.8479 (multiplicity 4)  2 Zn 2.74, 3 Ta 2.83-2.85, 2 Na 3.03

Properties
Formation energy from the elements   380 meV/atom
Relative energy among the computed polymorphs   243 meV per atom
Uncorrected energy   -53.225 eV per cell

---

No. 4
A relaxed structure of YW. Source: Alexandria via LeMat-Bulk, functional GGA-PBE.

a = 3.3394 Å, b = 5.0943 Å, c = 16.3582 Å
α = 90.00°, β = 90.00°, γ = 90.00°
With the nearest neighbours (Å) after each atom.
Space group Immm (No. 71)
Asymmetric unit:
Y 0.0000 0.0000 0.0000 (multiplicity 2)  8 W 3.05-3.23, 2 Y 3.34
Y 0.0000 0.5000 0.3104 (multiplicity 4)  5 W 3.09-3.24, 2 Y 3.34
W 0.0000 0.0000 0.5000 (multiplicity 2)  4 W 2.59
W 0.0000 0.5000 0.1214 (multiplicity 4)  2 W 2.59

Properties
Formation energy from the elements   426 meV/atom
Relative energy among the computed polymorphs   178 meV per atom
Uncorrected energy   -111.396 eV per cell

---

No. 5
A relaxed structure of Pr2NdTh3As6. Source: Alexandria via LeMat-Bulk, functional GGA-PBE.

a = 18.6398 Å, b = 4.2771 Å, c = 8.5385 Å
α = 90.00°, β = 103.26°, γ = 90.00°
With the nearest neighbours (Å) after each atom.
Space group C2/m (No. 12)
Asymmetric unit:
Pr 0.1666 0.0000 0.3331 (multiplicity 4)  6 As 3.04-3.05
Nd 0.0000 0.5000 0.0000 (multiplicity 2)  6 As 3.04
Th 0.0000 0.5000 0.5000 (multiplicity 2)  6 As 3.00-3.01
Th 0.1668 0.0000 0.8333 (multiplicity 4)  6 As 3.00-3.01
As 0.0013 0.0000 0.7483 (multiplicity 4)  3 Th 3.00-3.01, 2 Nd 3.04, 1 Pr 3.05
As 0.1653 0.5000 0.5865 (multiplicity 4)  3 Th 3.00, 3 Pr 3.05
As 0.1673 0.5000 0.0797 (multiplicity 4)  3 Th 3.00-3.01, 1 Nd 3.04, 2 Pr 3.04

Properties
Formation energy from the elements   -1472 meV/atom
Uncorrected energy   -164.298 eV per cell

---

No. 6
A relaxed structure of KInCu2I6. Source: Alexandria via LeMat-Bulk, functional GGA-PBE.

a = 15.8149 Å, b = 14.6318 Å, c = 8.3004 Å
α = 90.00°, β = 112.20°, γ = 90.00°
With the nearest neighbours (Å) after each atom.
Space group C2/c (No. 15)
Asymmetric unit:
K 0.0000 0.1307 0.2500 (multiplicity 4)  6 I 3.51-3.81
In 0.0000 0.1959 0.7500 (multiplicity 4)  4 I 2.79-2.84
Cu 0.1778 0.4584 0.2157 (multiplicity 8)  2 I 2.52
I 0.1036 0.2905 0.0515 (multiplicity 8)  1 In 2.79, 1 Cu 2.84
I 0.1276 0.0785 0.6879 (multiplicity 8)  1 In 2.84, 1 Cu 2.92
I 0.1591 0.4173 0.4954 (multiplicity 8)  2 Cu 2.52

Properties
Uncorrected energy   -105.466 eV per cell
Energy relative to the elements, uncorrected   -0.5037 eV/atom

---

No. 7
A relaxed structure of PmAlSi2. Source: Alexandria via LeMat-Bulk, functional GGA-PBE.

a = 3.7750 Å, b = 5.5880 Å, c = 8.2184 Å
α = 90.00°, β = 90.00°, γ = 90.00°
With the nearest neighbours (Å) after each atom.
Space group Amm2 (No. 38)
Asymmetric unit:
Pm 0.0000 0.0000 0.0000 (multiplicity 2)  8 Si 3.12-3.14, 4 Al 3.39
Al 0.5000 0.0000 0.5414 (multiplicity 2)  4 Si 2.47-2.53
Si 0.5000 0.2117 0.2694 (multiplicity 4)  1 Si 2.37, 2 Al 2.47-2.53

Properties
Relative energy among the computed polymorphs   222 meV per atom
Uncorrected energy   -40.136 eV per cell
Energy relative to the elements, uncorrected   -0.1822 eV/atom

---

No. 8
A relaxed structure of Ca2MgHgN. Source: Alexandria via LeMat-Bulk, functional GGA-PBE.

a = 4.9748 Å, b = 4.9748 Å, c = 4.3032 Å
α = 90.00°, β = 90.00°, γ = 90.00°
With the nearest neighbours (Å) after each atom.
Space group P4/mmm (No. 123)
Asymmetric unit:
Ca 0.0000 0.5000 0.0000 (multiplicity 2)  2 N 2.49
Mg 0.0000 0.0000 0.5000 (multiplicity 1)  2 N 2.15
Hg 0.5000 0.5000 0.5000 (multiplicity 1)  8 Ca 3.29, 4 Mg 3.52
N 0.0000 0.0000 0.0000 (multiplicity 1)  2 Mg 2.15

Properties
Uncorrected energy   -17.215 eV per cell
Energy relative to the elements, uncorrected   -0.5980 eV/atom

---

No. 9
A relaxed structure of NdH2Cl. Source: Alexandria via LeMat-Bulk, functional GGA-PBE.

a = 3.3406 Å, b = 3.3406 Å, c = 5.5361 Å
α = 90.00°, β = 90.00°, γ = 90.00°
With the nearest neighbours (Å) after each atom.
Space group P4/mmm (No. 123)
Asymmetric unit:
Nd 0.0000 0.0000 0.0000 (multiplicity 1)  8 H 2.55, 2 Cl 2.77
H 0.5000 0.5000 0.1747 (multiplicity 2)  1 H 1.93
Cl 0.0000 0.0000 0.5000 (multiplicity 1)  2 Nd 2.77, 8 H 2.97

Properties
Relative energy among the computed polymorphs   741 meV per atom
Uncorrected energy   -15.117 eV per cell

---

No. 10
A relaxed structure of Cr2ReOs. Source: Alexandria via LeMat-Bulk, functional GGA-PBE.

a = 5.5256 Å, b = 5.5256 Å, c = 10.2487 Å
α = 90.00°, β = 90.00°, γ = 90.00°
With the nearest neighbours (Å) after each atom.
Space group I-42d (No. 122)
Asymmetric unit:
Cr 0.2456 0.2500 0.1250 (multiplicity 8)  2 Os 2.32, 2 Re 2.35
Re 0.0000 0.0000 0.5000 (multiplicity 4)  4 Cr 2.35
Os 0.0000 0.0000 0.0000 (multiplicity 4)  4 Cr 2.32

Properties
Formation energy from the elements   1678 meV/atom
Uncorrected energy   -144.845 eV per cell

---

No. 11
A relaxed structure of ZnBBr2. Source: Alexandria via LeMat-Bulk, functional GGA-PBE.

a = 6.9275 Å, b = 6.9275 Å, c = 6.9275 Å
α = 90.00°, β = 90.00°, γ = 90.00°
With the nearest neighbours (Å) after each atom.
Space group Fm-3m (No. 225)
Asymmetric unit:
Zn 0.0000 0.0000 0.0000 (multiplicity 4)  8 Br 3.00
B 0.0000 0.0000 0.5000 (multiplicity 4)  8 Br 3.00
Br 0.2500 0.2500 0.2500 (multiplicity 8)  4 B 3.00, 4 Zn 3.00

Properties
Relative energy among the computed polymorphs   324 meV per atom
Uncorrected energy   -29.966 eV per cell
Energy relative to the elements, uncorrected   0.9514 eV/atom

---

- What is the uncorrected energy in the eleventh record?
  -29.966 eV per cell

---

- Which value of uncorrected energy does entry 2 give?
  -22.725 eV per cell

---

- uncorrected energy of number 2 (TeRhN2O)?
  -22.725 eV per cell